Entry 1:
VASP calculation (PBE) on a geometry-optimized BaGa3Tc structure.

Summary:
Energy above the most stable polymorph in this dataset: 0.02 eV/f.u.
Calculated density: 6.1 g/cm3

a b c (Å): 4.934 4.934 4.934
angles (deg): 90.00 90.00 90.00
Sites, in units of the cell vectors:
Ba  0.500  0.500  0.500
Ga  0.500  0.000  0.000
Ga  0.000  0.500  0.000
Ga  0.000  0.000  0.500
Tc  0.000  0.000  0.000

=====

Entry 2:
VASP calculation (PBE) on a geometry-optimized BaThGa structure.

Summary:
Energy above the most stable polymorph in this dataset: 0.00 eV/f.u.
Calculated density: 6.9 g/cm3

a b c (Å): 5.305 5.305 5.305
angles (deg): 60.00 60.00 60.00
Sites, in units of the cell vectors:
Ba  0.250  0.250  0.250
Ga  0.000  0.000  0.000
Th  0.750  0.750  0.750

=====

Entry 3:
VASP calculation (PBE) on a geometry-optimized Ba3Th3Ga2 structure.

Summary:
Energy: -3.58 eV per atom
Calculated density: 5.8 g/cm3

a b c (Å): 5.169 5.169 13.457
angles (deg): 90.00 90.00 90.00
Sites, in units of the cell vectors:
Ba  0.000  0.000  0.000
Ba  0.500  0.500  0.000
Ba  0.500  0.500  0.500
Ga  0.000  0.500  0.165
Ga  0.500  0.000  0.835
Th  0.000  0.000  0.279
Th  0.000  0.000  0.500
Th  0.000  0.000  0.721

=====

Entry 4:
VASP calculation (PBE) on a geometry-optimized BaTmGa structure.

Summary:
Energy: -2.90 eV per atom
Calculated density: 6.4 g/cm3

a b c (Å): 5.179 5.179 5.179
angles (deg): 60.00 60.00 60.00
Sites, in units of the cell vectors:
Ba  0.250  0.250  0.250
Ga  0.750  0.750  0.750
Tm  0.000  0.000  0.000

=====

What did the fourth record say?
VASP calculation (PBE) on a geometry-optimized BaTmGa structure.

Summary:
Energy: -2.90 eV per atom
Calculated density: 6.4 g/cm3

a b c (Å): 5.179 5.179 5.179
angles (deg): 60.00 60.00 60.00
Sites, in units of the cell vectors:
Ba  0.250  0.250  0.250
Ga  0.750  0.750  0.750
Tm  0.000  0.000  0.000